Entry 1:
{
  "formula": "TbDy4Al2",
  "functional": "GGA-PBE",
  "state": "relaxed",
  "vol_a3_per_cell": 403.2,
  "sg": "No. 139",
  "rho_g_cm3": 7.1,
  "crystal_system": "tetragonal",
  "dft_energy_ev_per_atom": -4.088,
  "formation_enthalpy_0k_kcal_per_mol_atoms": 6.294,
  "lattice_angstrom": [[5.6413, 0.0000, 0.0000], [0.0000, 5.6413, 0.0000], [0.0000, 0.0000, 12.6704]],
  "species": ["Tb", "Tb", "Dy", "Dy", "Dy", "Dy", "Dy", "Dy", "Dy", "Dy", "Al", "Al", "Al", "Al"],
  "fractional_positions": [[0.0000, 0.0000, 0.0000], [0.5000, 0.5000, 0.5000], [0.0000, 0.5000, 0.0000], [0.0000, 0.5000, 0.2500], [0.0000, 0.5000, 0.5000], [0.0000, 0.5000, 0.7500], [0.5000, 0.0000, 0.0000], [0.5000, 0.0000, 0.2500], [0.5000, 0.0000, 0.5000], [0.5000, 0.0000, 0.7500], [0.0000, 0.0000, 0.3853], [0.0000, 0.0000, 0.6147], [0.5000, 0.5000, 0.1147], [0.5000, 0.5000, 0.8853]]
}

---

Entry 2:
{
  "formula": "TbDy12Al3",
  "functional": "GGA-PBE",
  "state": "relaxed",
  "vol_a3_per_cell": 448.6,
  "sg": "No. 123",
  "rho_g_cm3": 8.1,
  "crystal_system": "tetragonal",
  "dft_energy_ev_per_atom": -4.570,
  "formation_enthalpy_0k_kcal_per_mol_atoms": -2.927,
  "lattice_angstrom": [[4.7931, 0.0000, 0.0000], [0.0000, 4.7931, 0.0000], [0.0000, 0.0000, 19.5265]],
  "species": ["Tb", "Dy", "Dy", "Dy", "Dy", "Dy", "Dy", "Dy", "Dy", "Dy", "Dy", "Dy", "Dy", "Al", "Al", "Al"],
  "fractional_positions": [[0.0000, 0.0000, 0.0000], [0.0000, 0.5000, 0.1343], [0.0000, 0.5000, 0.3781], [0.0000, 0.5000, 0.6219], [0.0000, 0.5000, 0.8657], [0.5000, 0.0000, 0.1343], [0.5000, 0.0000, 0.3781], [0.5000, 0.0000, 0.6219], [0.5000, 0.0000, 0.8657], [0.5000, 0.5000, 0.0000], [0.5000, 0.5000, 0.2570], [0.5000, 0.5000, 0.5000], [0.5000, 0.5000, 0.7430], [0.0000, 0.0000, 0.2579], [0.0000, 0.0000, 0.5000], [0.0000, 0.0000, 0.7421]]
}

---

Entry 3:
{
  "formula": "TbDy6Al",
  "functional": "GGA-PBE",
  "state": "relaxed",
  "vol_a3_per_cell": 242.4,
  "sg": "No. 148",
  "rho_g_cm3": 8.0,
  "crystal_system": "trigonal",
  "dft_energy_ev_per_atom": -4.458,
  "formation_enthalpy_0k_kcal_per_mol_atoms": 0.933,
  "lattice_angstrom": [[4.5754, 2.6416, 3.3422], [-4.5754, 2.6416, 3.3422], [0.0000, -5.2832, 3.3422]],
  "species": ["Tb", "Dy", "Dy", "Dy", "Dy", "Dy", "Dy", "Al"],
  "fractional_positions": [[0.0000, 0.0000, 0.0000], [0.0567, 0.5370, 0.2615], [0.2615, 0.0567, 0.5370], [0.4630, 0.7385, 0.9433], [0.5370, 0.2615, 0.0567], [0.7385, 0.9433, 0.4630], [0.9433, 0.4630, 0.7385], [0.5000, 0.5000, 0.5000]]
}

---

Entry 4:
{
  "formula": "Tb3DyAl2",
  "functional": "GGA-PBE",
  "state": "relaxed",
  "vol_a3_per_cell": 320.9,
  "sg": "No. 12",
  "rho_g_cm3": 7.2,
  "crystal_system": "monoclinic",
  "dft_energy_ev_per_atom": -4.512,
  "formation_enthalpy_0k_kcal_per_mol_atoms": -4.208,
  "lattice_angstrom": [[8.0099, -2.5835, 0.0000], [8.0099, 2.5835, 0.0000], [-4.7574, 0.0000, 7.7542]],
  "species": ["Tb", "Tb", "Tb", "Tb", "Tb", "Tb", "Dy", "Dy", "Al", "Al", "Al", "Al"],
  "fractional_positions": [[0.0587, 0.0587, 0.2153], [0.3136, 0.3136, 0.5027], [0.3815, 0.3815, 0.9623], [0.6185, 0.6185, 0.0377], [0.6864, 0.6864, 0.4973], [0.9413, 0.9413, 0.7847], [0.1299, 0.1299, 0.6802], [0.8701, 0.8701, 0.3198], [0.2363, 0.2363, 0.0980], [0.4732, 0.4732, 0.3400], [0.5268, 0.5268, 0.6600], [0.7637, 0.7637, 0.9020]]
}

---

Entry 5:
{
  "formula": "Tb3Dy2Al4",
  "functional": "GGA-PBE",
  "state": "relaxed",
  "vol_a3_per_cell": 476.7,
  "sg": "No. 64",
  "rho_g_cm3": 6.3,
  "crystal_system": "orthorhombic",
  "dft_energy_ev_per_atom": -4.361,
  "formation_enthalpy_0k_kcal_per_mol_atoms": -3.041,
  "lattice_angstrom": [[3.4048, -7.6662, 0.0000], [3.4048, 7.6662, 0.0000], [0.0000, 0.0000, 9.1313]],
  "species": ["Tb", "Tb", "Tb", "Tb", "Tb", "Tb", "Dy", "Dy", "Dy", "Dy", "Al", "Al", "Al", "Al", "Al", "Al", "Al", "Al"],
  "fractional_positions": [[0.0000, 0.0000, 0.0000], [0.0283, 0.4717, 0.2500], [0.4717, 0.0283, 0.7500], [0.5000, 0.5000, 0.5000], [0.5283, 0.9717, 0.2500], [0.9717, 0.5283, 0.7500], [0.1072, 0.8928, 0.4414], [0.3928, 0.6072, 0.9414], [0.6072, 0.3928, 0.0586], [0.8928, 0.1072, 0.5586], [0.1916, 0.8084, 0.0224], [0.2258, 0.2742, 0.2500], [0.2742, 0.2258, 0.7500], [0.3084, 0.6916, 0.5224], [0.6916, 0.3084, 0.4776], [0.7258, 0.7742, 0.2500], [0.7742, 0.7258, 0.7500], [0.8084, 0.1916, 0.9776]]
}

---

Entry 6:
{
  "formula": "TbDy2Al2",
  "functional": "GGA-PBE",
  "state": "relaxed",
  "vol_a3_per_cell": 251.4,
  "sg": "No. 11",
  "rho_g_cm3": 7.1,
  "crystal_system": "monoclinic",
  "dft_energy_ev_per_atom": -4.579,
  "formation_enthalpy_0k_kcal_per_mol_atoms": -7.259,
  "lattice_angstrom": [[3.6429, 0.0000, 0.0000], [0.0000, 5.1505, 0.0000], [-1.8231, 0.0000, 13.3965]],
  "species": ["Tb", "Tb", "Dy", "Dy", "Dy", "Dy", "Al", "Al", "Al", "Al"],
  "fractional_positions": [[0.1439, 0.2500, 0.2901], [0.8561, 0.7500, 0.7099], [0.0468, 0.7500, 0.0937], [0.2330, 0.7500, 0.4669], [0.7670, 0.2500, 0.5331], [0.9532, 0.2500, 0.9063], [0.3598, 0.2500, 0.7185], [0.4508, 0.7500, 0.9017], [0.5492, 0.2500, 0.0983], [0.6402, 0.7500, 0.2815]]
}

---

Entry 7:
{
  "formula": "Tb7Dy12Al",
  "functional": "GGA-PBE",
  "state": "relaxed",
  "vol_a3_per_cell": 635.8,
  "sg": "No. 148",
  "rho_g_cm3": 8.1,
  "crystal_system": "trigonal",
  "dft_energy_ev_per_atom": -4.384,
  "formation_enthalpy_0k_kcal_per_mol_atoms": 4.257,
  "lattice_angstrom": [[5.9542, 3.4377, 5.1766], [-5.9542, 3.4377, 5.1766], [0.0000, -6.8754, 5.1766]],
  "species": ["Tb", "Tb", "Tb", "Tb", "Tb", "Tb", "Tb", "Dy", "Dy", "Dy", "Dy", "Dy", "Dy", "Dy", "Dy", "Dy", "Dy", "Dy", "Dy", "Al"],
  "fractional_positions": [[0.0000, 0.0000, 0.0000], [0.1104, 0.3553, 0.4269], [0.3553, 0.4269, 0.1104], [0.4269, 0.1104, 0.3553], [0.5731, 0.8896, 0.6447], [0.6447, 0.5731, 0.8896], [0.8896, 0.6447, 0.5731], [0.0023, 0.6412, 0.1125], [0.1125, 0.0023, 0.6412], [0.2469, 0.7469, 0.3660], [0.2531, 0.6340, 0.7531], [0.3588, 0.8875, 0.9977], [0.3660, 0.2469, 0.7469], [0.6340, 0.7531, 0.2531], [0.6412, 0.1125, 0.0023], [0.7469, 0.3660, 0.2469], [0.7531, 0.2531, 0.6340], [0.8875, 0.9977, 0.3588], [0.9977, 0.3588, 0.8875], [0.5000, 0.5000, 0.5000]]
}

---

Entry 8:
{
  "formula": "TbDy4Al",
  "functional": "GGA-PBE",
  "state": "relaxed",
  "vol_a3_per_cell": 354.5,
  "sg": "No. 15",
  "rho_g_cm3": 7.8,
  "crystal_system": "monoclinic",
  "dft_energy_ev_per_atom": -4.500,
  "formation_enthalpy_0k_kcal_per_mol_atoms": -0.836,
  "lattice_angstrom": [[4.3561, -6.8986, 0.0000], [4.3561, 6.8986, 0.0000], [-1.9952, 0.0000, 5.8974]],
  "species": ["Tb", "Tb", "Dy", "Dy", "Dy", "Dy", "Dy", "Dy", "Dy", "Dy", "Al", "Al"],
  "fractional_positions": [[0.0921, 0.9079, 0.7500], [0.9079, 0.0921, 0.2500], [0.1039, 0.3373, 0.8767], [0.2161, 0.5850, 0.4555], [0.3373, 0.1039, 0.3767], [0.4150, 0.7839, 0.0445], [0.5850, 0.2161, 0.9555], [0.6627, 0.8961, 0.6233], [0.7839, 0.4150, 0.5445], [0.8961, 0.6627, 0.1233], [0.4995, 0.5005, 0.2500], [0.5005, 0.4995, 0.7500]]
}

---

Entry 9:
{
  "formula": "Tb2Dy6Al",
  "functional": "GGA-PBE",
  "state": "relaxed",
  "vol_a3_per_cell": 540.5,
  "sg": "No. 58",
  "rho_g_cm3": 8.1,
  "crystal_system": "orthorhombic",
  "dft_energy_ev_per_atom": -4.519,
  "formation_enthalpy_0k_kcal_per_mol_atoms": -0.152,
  "lattice_angstrom": [[9.8651, 0.0000, 0.0000], [0.0000, 10.2176, 0.0000], [0.0000, 0.0000, 5.3624]],
  "species": ["Tb", "Tb", "Tb", "Tb", "Dy", "Dy", "Dy", "Dy", "Dy", "Dy", "Dy", "Dy", "Dy", "Dy", "Dy", "Dy", "Al", "Al"],
  "fractional_positions": [[0.1974, 0.2367, 0.0000], [0.3026, 0.7367, 0.5000], [0.6974, 0.2633, 0.5000], [0.8026, 0.7633, 0.0000], [0.0228, 0.3132, 0.5000], [0.1323, 0.8908, 0.0000], [0.1860, 0.5633, 0.0000], [0.3140, 0.0633, 0.5000], [0.3677, 0.3908, 0.5000], [0.4772, 0.8132, 0.0000], [0.5228, 0.1868, 0.0000], [0.6323, 0.6092, 0.5000], [0.6860, 0.9367, 0.5000], [0.8140, 0.4367, 0.0000], [0.8677, 0.1092, 0.0000], [0.9772, 0.6868, 0.5000], [0.0000, 0.0000, 0.5000], [0.5000, 0.5000, 0.0000]]
}

---

Entry 10:
{
  "formula": "Tb2DyAl2",
  "functional": "GGA-PBE",
  "state": "relaxed",
  "vol_a3_per_cell": 260.2,
  "sg": "No. 71",
  "rho_g_cm3": 6.8,
  "crystal_system": "orthorhombic",
  "dft_energy_ev_per_atom": -4.585,
  "formation_enthalpy_0k_kcal_per_mol_atoms": -7.286,
  "lattice_angstrom": [[4.8101, 0.0000, 0.0000], [0.0000, 6.6590, 0.0000], [0.0000, 0.0000, 8.1234]],
  "species": ["Tb", "Tb", "Tb", "Tb", "Dy", "Dy", "Al", "Al", "Al", "Al"],
  "fractional_positions": [[0.0000, 0.0000, 0.1967], [0.0000, 0.0000, 0.8033], [0.5000, 0.5000, 0.3033], [0.5000, 0.5000, 0.6967], [0.0000, 0.5000, 0.0000], [0.5000, 0.0000, 0.5000], [0.0000, 0.3017, 0.5000], [0.0000, 0.6983, 0.5000], [0.5000, 0.1983, 0.0000], [0.5000, 0.8017, 0.0000]]
}

---

Please write out number 9 again, unchanged.
{
  "formula": "Tb2Dy6Al",
  "functional": "GGA-PBE",
  "state": "relaxed",
  "vol_a3_per_cell": 540.5,
  "sg": "No. 58",
  "rho_g_cm3": 8.1,
  "crystal_system": "orthorhombic",
  "dft_energy_ev_per_atom": -4.519,
  "formation_enthalpy_0k_kcal_per_mol_atoms": -0.152,
  "lattice_angstrom": [[9.8651, 0.0000, 0.0000], [0.0000, 10.2176, 0.0000], [0.0000, 0.0000, 5.3624]],
  "species": ["Tb", "Tb", "Tb", "Tb", "Dy", "Dy", "Dy", "Dy", "Dy", "Dy", "Dy", "Dy", "Dy", "Dy", "Dy", "Dy", "Al", "Al"],
  "fractional_positions": [[0.1974, 0.2367, 0.0000], [0.3026, 0.7367, 0.5000], [0.6974, 0.2633, 0.5000], [0.8026, 0.7633, 0.0000], [0.0228, 0.3132, 0.5000], [0.1323, 0.8908, 0.0000], [0.1860, 0.5633, 0.0000], [0.3140, 0.0633, 0.5000], [0.3677, 0.3908, 0.5000], [0.4772, 0.8132, 0.0000], [0.5228, 0.1868, 0.0000], [0.6323, 0.6092, 0.5000], [0.6860, 0.9367, 0.5000], [0.8140, 0.4367, 0.0000], [0.8677, 0.1092, 0.0000], [0.9772, 0.6868, 0.5000], [0.0000, 0.0000, 0.5000], [0.5000, 0.5000, 0.0000]]
}